Material: BaNbV2W
Method: DFT, GGA-PBE
State: relaxed

Values from the calculation:
DOS(E_F)   8.122 states/eV/f.u.
E_tot   -7.419 eV per atom

```
data_BaNbV2W
_chemical_formula_sum 'Ba1 Nb1 V2 W1'
_space_group_name_H-M_alt 'P 4/m m m'
_space_group_IT_number 123
_space_group_name_Hall '-P 4 2'
_cell_length_a 4.852
_cell_length_b 4.852
_cell_length_c 5.052
_cell_angle_alpha 90.00
_cell_angle_beta 90.00
_cell_angle_gamma 90.00
loop_
_atom_site_label
_atom_site_fract_x
_atom_site_fract_y
_atom_site_fract_z
Ba1 0.000 0.000 0.000
Nb1 0.500 0.500 0.000
V1 0.000 0.500 0.500
W1 0.500 0.500 0.500
```

---

Material: BaNbV2Zn
Method: DFT, GGA-PBE
State: relaxed

Values from the calculation:
DOS(E_F)   7.426 states/eV/f.u.
E_tot   -3.879 eV per atom

```
data_BaNbV2Zn
_chemical_formula_sum 'Ba1 Nb1 V2 Zn1'
_space_group_name_H-M_alt 'P 4/m m m'
_space_group_IT_number 123
_space_group_name_Hall '-P 4 2'
_cell_length_a 4.913
_cell_length_b 4.913
_cell_length_c 5.217
_cell_angle_alpha 90.00
_cell_angle_beta 90.00
_cell_angle_gamma 90.00
loop_
_atom_site_label
_atom_site_fract_x
_atom_site_fract_y
_atom_site_fract_z
Ba1 0.000 0.000 0.000
Nb1 0.500 0.500 0.500
V1 0.000 0.500 0.000
Zn1 0.000 0.000 0.500
```

---

Question: Which value of E_tot does entry 1 give?
Answer: -7.419 eV per atom

---

Question: E_tot of number 1 (BaNbV2W)?
Answer: -7.419 eV per atom

---

Question: Number 1 is which compound?
Answer: BaNbV2W

---

Question: What is the formula in the first record?
Answer: BaNbV2W